Density functional theory data (PBE with a Hubbard U) for a relaxed structure of V3CuP4O16.

Output
DOS at the Fermi energy ... 0.05 states/eV/f.u.
Uncorrected energy ... -7.325 eV/atom

Cell lengths 4.9298, 9.9983, 5.9227 Å; angles 90.00, 90.00, 91.86 degrees
Last column: nearest neighbours and their distance in Å.
Element x y z (fractional)
O 0.2161 0.3730 0.7500  1 P 1.52
P 0.1020 0.6018 0.2500  4 O 1.52-1.58
O 0.2704 0.6728 0.0550  1 P 1.58
O 0.7602 0.3284 0.5476  1 P 1.59
O 0.6981 0.1200 0.2500  1 P 1.52
O 0.7022 0.8369 0.9643  1 P 1.58
Cu 0.1160 0.7034 0.7500  4 O 1.89-1.99
O 0.6412 0.0535 0.7500  1 P 1.52
V 0.9692 0.2682 0.2500  6 O 1.96-2.14
O 0.2629 0.8799 0.7500  1 P 1.53
O 0.2704 0.6728 0.4450  1 P 1.58
O 0.2491 0.1661 0.4527  1 P 1.58
P 0.3925 0.0933 0.2500  4 O 1.52-1.58
V 0.4712 0.2287 0.7500  6 O 1.94-2.16
P 0.5701 0.9039 0.7500  4 O 1.52-1.58
V 0.5516 0.7835 0.2500  6 O 1.92-2.09
O 0.7602 0.3284 0.9524  1 P 1.59
O 0.7022 0.8369 0.5357  1 P 1.58
O 0.1350 0.4510 0.2500  1 P 1.52
O 0.2491 0.1661 0.0473  1 P 1.58
P 0.9151 0.4027 0.7500  4 O 1.52-1.59
O 0.8698 0.5520 0.7500  1 P 1.52
O 0.3240 0.9422 0.2500  1 P 1.54
O 0.8015 0.6344 0.2500  1 P 1.53